{
  "formula": "Nd2GaNiO6",
  "functional": "PBE with a Hubbard U",
  "state": "relaxed",
  "cell": [[5.408, 0.000, 0.000], [0.000, 5.503, 0.000], [-5.193, 0.000, 7.939]],
  "species": ["Nd", "Nd", "Nd", "Nd", "Ga", "Ga", "Ni", "Ni", "O", "O", "O", "O", "O", "O", "O", "O", "O", "O", "O", "O"],
  "frac_coords": [[0.233, 0.049, 0.247], [0.233, 0.451, 0.747], [0.767, 0.549, 0.253], [0.767, 0.951, 0.753], [0.500, 0.000, 0.000], [0.500, 0.500, 0.500], [0.000, 0.000, 0.500], [0.000, 0.500, 0.000], [0.160, 0.215, 0.954], [0.160, 0.285, 0.454], [0.233, 0.706, 0.951], [0.233, 0.794, 0.451], [0.344, 0.017, 0.760], [0.344, 0.483, 0.260], [0.656, 0.517, 0.740], [0.656, 0.983, 0.240], [0.767, 0.206, 0.549], [0.767, 0.294, 0.049], [0.840, 0.715, 0.546], [0.840, 0.785, 0.046]],
  "energy_ev_per_cell": -136.73
}